PBE-GGA ZrInAg, relaxed; crystal system = trigonal; total magnetic moment = 0.00 μB/f.u.; E = -4.71 eV/atom
1.0
3.1299 0.0000 0.0000
-1.5650 2.7106 0.0000
0.0000 0.0000 7.5749
Zr In Ag
1 1 1
direct
0.0000 0.0000 0.0000 Zr
0.3333 0.6667 0.6532 In
0.6667 0.3333 0.3279 Ag